(1)
# Y3In2Hg7

A relaxed structure of Y3In2Hg7 (PBE, Alexandria via LeMat-Bulk).

E = -29.821 eV per cell
D(E_F) = 7.0 states/eV per cell

The structure in POSCAR format:
```
Y3In2Hg7
1.0
3.772 0.000 0.000
0.000 4.980 0.010
0.000 -2.425 16.406
Y Hg In
3 7 2
direct
0.000 0.808 0.624 Y
0.000 0.192 0.376 Y
0.500 0.500 0.000 Y
0.000 0.000 0.000 Hg
0.500 0.101 0.185 Hg
0.500 0.899 0.815 Hg
0.000 0.420 0.853 Hg
0.000 0.580 0.147 Hg
0.500 0.730 0.459 Hg
0.500 0.270 0.541 Hg
0.500 0.653 0.288 In
0.500 0.347 0.712 In
```

=====

(2)
# YIn2Hg

A relaxed structure of YIn2Hg (PBE, Alexandria via LeMat-Bulk).

E = -13.326 eV per cell
D(E_F) = 1.6 states/eV per cell

The structure in POSCAR format:
```
YIn2Hg
1.0
-3.814 2.832 -2.790
-4.735 2.714 0.749
1.726 5.305 0.627
Y In Hg
1 2 1
direct
0.504 0.504 0.487 Y
0.997 0.997 0.997 In
0.747 0.747 0.763 In
0.252 0.252 0.253 Hg
```

=====

(3)
# Y2InHg

A relaxed structure of Y2InHg (PBE, Alexandria via LeMat-Bulk).

E = -17.005 eV per cell
D(E_F) = 4.4 states/eV per cell

The structure in POSCAR format:
```
Y2InHg
1.0
3.599 0.014 0.000
-0.013 3.599 0.000
0.000 0.000 8.514
Y Hg In
2 1 1
direct
0.000 0.000 0.981 Y
0.500 0.500 0.281 Y
0.000 0.000 0.507 Hg
0.500 0.500 0.731 In
```